# 1
Rb2TiInF6 GGA-PBE relaxed; calculated volume = 19.60 Å³ per atom; energy above the lowest structure with this stoichiometry = 0.0 meV per atom
1.0
-3.267 3.267 4.592
3.267 -3.267 4.592
3.267 3.267 -4.592
Rb Ti In F
2 1 1 6
direct
0.250 0.750 0.500
0.750 0.250 0.500
0.000 0.000 0.000
0.500 0.500 0.000
0.214 0.214 0.000
0.218 0.218 0.436
0.218 0.782 0.000
0.782 0.218 0.000
0.782 0.782 0.564
0.786 0.786 0.000

---

# 2
RbTiInF6 GGA-PBE relaxed; calculated volume = 17.61 Å³ per atom
1.0
5.014 0.000 0.000
0.293 5.953 0.000
0.294 2.702 5.311
Rb Ti In F
1 1 1 6
direct
0.000 0.000 0.000
0.685 0.655 0.655
0.392 0.343 0.344
0.416 0.792 0.789
0.502 0.343 0.771
0.503 0.770 0.342
0.862 0.520 0.961
0.863 0.962 0.518
0.954 0.513 0.514

---

# 3
Rb2TiInF8 GGA-PBE relaxed; calculated volume = 18.98 Å³ per atom
1.0
5.766 0.000 0.000
-2.883 4.994 0.000
0.000 0.000 7.909
Rb Ti In F
2 1 1 8
direct
0.333 0.667 0.327
0.667 0.333 0.673
0.000 0.000 0.500
0.000 0.000 0.000
0.152 0.304 0.642
0.152 0.848 0.642
0.304 0.152 0.358
0.333 0.667 0.990
0.667 0.333 0.010
0.696 0.848 0.642
0.848 0.152 0.358
0.848 0.696 0.358

---

# 4
Rb2TlInF4 GGA-PBE relaxed; calculated volume = 22.95 Å³ per atom
1.0
-4.006 4.033 5.681
4.006 -4.033 5.681
4.006 4.033 -5.681
Rb Tl In F
4 2 2 8
direct
0.000 0.000 0.000
0.500 0.000 0.000
0.500 0.000 0.500
0.500 0.500 0.500
0.000 0.500 0.500
0.500 0.500 0.000
0.000 0.000 0.500
0.000 0.500 0.000
0.247 0.250 0.997
0.248 0.248 0.500
0.248 0.748 0.000
0.248 0.750 0.497
0.752 0.250 0.503
0.752 0.252 0.000
0.752 0.752 0.500
0.753 0.750 0.003

---

Quick rundown of formation energy without anion corrections, same order as above: -269.0, -286.3, -251.5, -207.3 kJ per mole of atoms